## SmPuPdRh (PBE)

Data for crystalline SmPuPdRh at its relaxed geometry.

abc: 4.959 4.959 4.959
angles: 60.00 60.00 60.00
Positions (direct):
Sm1 0.000 0.000 0.000
Pu1 0.500 0.500 0.500
Pd1 0.250 0.250 0.250
Rh1 0.750 0.750 0.750

Values from the calculation:
The volume is 21.56 Å³/atom. As for the formation energy from the elements: -0.56 eV/atom. Its space group is F-43m, No. 216.